1.
DFT (PBE) results for a relaxed SmHoZn2Ga2 crystal.

```
SmHoZn2Ga2
1.0
4.433 0.000 0.000
-2.216 3.839 0.000
0.000 0.000 7.301
Ga Zn Sm Ho
2 2 1 1
Direct
0.333 0.667 0.262 Ga
0.667 0.333 0.738 Ga
0.333 0.667 0.732 Zn
0.667 0.333 0.268 Zn
0.000 0.000 0.000 Sm
0.000 0.000 0.500 Ho
```

Values from the calculation:
Energy relative to the elements in eV/atom: -0.57
Magnetization in Bohr magnetons per cell: 0.0
Symmetry: P-3m1 (164)
N(E_F) in states/eV/f.u.: 3.1

2.
DFT (PBE) results for a relaxed NaIn crystal.

```
NaIn
1.0
-4.595 -1.980 -7.148
4.884 -7.135 -1.164
-5.581 -4.614 4.866
In Na
6 6
Direct
0.250 0.000 0.500 In
0.500 0.250 0.000 In
0.750 0.000 0.500 In
0.000 0.500 0.750 In
0.000 0.500 0.250 In
0.500 0.750 0.000 In
0.000 0.250 0.500 Na
0.250 0.500 0.000 Na
0.500 0.000 0.750 Na
0.000 0.750 0.500 Na
0.500 0.000 0.250 Na
0.750 0.500 0.000 Na
```

Values from the calculation:
Energy relative to the elements in eV/atom: 0.56
Magnetization in Bohr magnetons per cell: 0.0
Symmetry: Pm-3n (223)
N(E_F) in states/eV/f.u.: 1.2

3.
DFT (PBE) results for a relaxed Fe crystal.

```
Fe
1.0
-2.516 -3.727 -5.586
6.430 -3.056 -0.857
-0.635 -1.742 1.448
Fe
8
Direct
0.328 0.672 0.000 Fe
0.131 0.869 0.500 Fe
0.369 0.369 0.000 Fe
0.672 0.328 0.000 Fe
0.828 0.828 0.500 Fe
0.172 0.172 0.500 Fe
0.631 0.631 0.000 Fe
0.869 0.131 0.500 Fe
```

Values from the calculation:
Offset from the most stable computed form in meV/atom: 1040.6
Energy relative to the elements in eV/atom: 1.04
Magnetization in Bohr magnetons per cell: 1.0
Symmetry: P4_2/mnm (136)
N(E_F) in states/eV/f.u.: 1.6

4.
DFT (PBE) results for a relaxed Li3Tb3TaS8 crystal.

```
Li3Tb3TaS8
1.0
7.690 0.000 0.000
-3.845 6.659 -0.025
0.000 -4.420 6.205
Li S Ta Tb
3 8 1 3
Direct
0.000 0.000 0.000 Li
0.000 0.500 0.000 Li
0.500 0.500 0.000 Li
0.248 0.496 0.243 S
0.226 0.993 0.261 S
0.232 0.465 0.739 S
0.768 0.535 0.261 S
0.768 0.993 0.261 S
0.774 0.007 0.739 S
0.752 0.504 0.757 S
0.232 0.007 0.739 S
0.000 0.000 0.500 Ta
0.000 0.500 0.500 Tb
0.500 0.500 0.500 Tb
0.500 0.000 0.500 Tb
```

Values from the calculation:
Magnetization in Bohr magnetons per cell: 0.3
Formation energy (no corrections) in eV/atom: -1.634
Symmetry: R-3m (166)
N(E_F) in states/eV/f.u.: 4.5

> What is the N(E_F) in the third record?

1.6 states/eV/f.u.

> What is the formula in the second record?

NaIn

> Which value of N(E_F) does entry 3 give?

1.6 states/eV/f.u.

Please write out number 3 again, unchanged.
DFT (PBE) results for a relaxed Fe crystal.

```
Fe
1.0
-2.516 -3.727 -5.586
6.430 -3.056 -0.857
-0.635 -1.742 1.448
Fe
8
Direct
0.328 0.672 0.000 Fe
0.131 0.869 0.500 Fe
0.369 0.369 0.000 Fe
0.672 0.328 0.000 Fe
0.828 0.828 0.500 Fe
0.172 0.172 0.500 Fe
0.631 0.631 0.000 Fe
0.869 0.131 0.500 Fe
```

Values from the calculation:
Offset from the most stable computed form in meV/atom: 1040.6
Energy relative to the elements in eV/atom: 1.04
Magnetization in Bohr magnetons per cell: 1.0
Symmetry: P4_2/mnm (136)
N(E_F) in states/eV/f.u.: 1.6